Entry 1:
## AcTb2Pm5Nd (PBE)

Data for an optimized crystal structure of AcTb2Pm5Nd.

Structure (extended XYZ):
```
18
Lattice="2.816 -12.148 0.000 2.816 12.148 0.000 0.000 0.000 9.524" Properties=species:S:1:pos:R:3 pbc="T T T"
Ac 2.816 9.664 4.762
Ac 2.816 -9.664 0.000
Tb 2.816 4.145 2.409
Tb 2.816 2.723 6.107
Tb 2.816 -2.723 1.345
Tb 2.816 -4.145 7.171
Pm 2.816 11.557 1.676
Pm 2.816 9.635 8.529
Pm 2.816 7.541 1.909
Pm 2.816 6.285 5.393
Pm 2.816 0.176 3.799
Pm 2.816 -0.176 8.561
Pm 2.816 -6.285 0.631
Pm 2.816 -7.541 6.670
Pm 2.816 -9.635 3.767
Pm 2.816 -11.557 6.437
Nd 2.816 5.759 8.489
Nd 2.816 -5.759 3.727
```

Computed properties:
Magnetic moment in μB per formula unit: 0.00
N(E_F) in states/eV per cell: 21.797
Space-group type: Cmc2_1 (36)

Entry 2:
## AcPr2NdN4 (PBE)

Data for an optimized crystal structure of AcPr2NdN4.

Structure (extended XYZ):
```
8
Lattice="6.479 0.000 0.000 0.000 3.737 0.000 -2.155 0.000 6.114" Properties=species:S:1:pos:R:3 pbc="T T T"
Ac 0.000 0.000 0.000
Pr 2.162 0.000 3.057
Pr 3.240 1.868 0.000
Nd -1.078 1.868 3.057
N 0.026 0.000 4.557
N 1.105 1.868 1.580
N 3.219 1.868 4.534
N 4.299 0.000 1.557
```

Computed properties:
Magnetic moment in μB per formula unit: 0.00
Formation energy from raw total energies in eV per formula unit: -9.8
N(E_F) in states/eV per cell: 1.123
Space-group type: P2/m (10)

Entry 3:
## ScSi2W (PBE)

Data for an optimized crystal structure of ScSi2W.

Structure (extended XYZ):
```
4
Lattice="3.097 0.000 0.000 0.000 3.240 0.000 0.000 0.000 6.464" Properties=species:S:1:pos:R:3 pbc="T T T"
Sc 0.000 0.000 0.000
Si 1.548 1.620 1.906
Si 1.548 1.620 4.558
W 0.000 0.000 3.232
```

Computed properties:
Magnetic moment in μB per formula unit: 0.51
Formation energy from raw total energies in eV per formula unit: -0.9
N(E_F) in states/eV per cell: 2.489
Space-group type: Pmmm (47)
Relative energy among the computed polymorphs in eV per formula unit: 0.63

Entry 4:
## NaAgHg (PBE)

Data for an optimized crystal structure of NaAgHg.

Structure (extended XYZ):
```
3
Lattice="-1.896 1.896 4.679 1.896 -1.896 4.679 1.896 1.896 -4.679" Properties=species:S:1:pos:R:3 pbc="T T T"
Na 0.000 0.000 0.000
Ag 0.000 0.000 3.104
Hg 0.000 0.000 6.282
```

Computed properties:
Magnetic moment in μB per formula unit: 0.00
N(E_F) in states/eV per cell: 0.771
Space-group type: I4mm (107)
Relative energy among the computed polymorphs in eV per formula unit: 0.08

Entry 5:
## BiPd3Se (PBE)

Data for an optimized crystal structure of BiPd3Se.

Structure (extended XYZ):
```
10
Lattice="-2.924 3.958 4.201 2.924 -3.958 4.201 2.924 3.958 -4.201" Properties=species:S:1:pos:R:3 pbc="T T T"
Bi 0.000 1.979 0.192
Bi 2.924 1.979 4.009
Pd 2.924 1.979 -1.630
Pd 1.462 4.432 -2.100
Pd 1.462 0.473 2.100
Pd -1.462 3.485 2.100
Pd 1.462 3.485 2.100
Pd 0.000 1.979 5.831
Se 2.924 0.000 0.000
Se 0.000 0.000 4.201
```

Computed properties:
Magnetic moment in μB per formula unit: 0.00
Formation energy from raw total energies in eV per formula unit: -1.1
N(E_F) in states/eV per cell: 5.549
Space-group type: Imma (74)
Relative energy among the computed polymorphs in eV per formula unit: 0.05

Entry 6:
## Cd2InTcP (PBE)

Data for an optimized crystal structure of Cd2InTcP.

Structure (extended XYZ):
```
5
Lattice="5.343 0.000 0.000 0.000 5.343 0.000 0.000 0.000 4.471" Properties=species:S:1:pos:R:3 pbc="T T T"
Cd 0.000 2.672 0.000
Cd 2.672 0.000 0.000
In 0.000 0.000 2.235
Tc 2.672 2.672 0.000
P 2.672 2.672 2.235
```

Computed properties:
Magnetic moment in μB per formula unit: 0.00
N(E_F) in states/eV per cell: 1.589
Space-group type: P4/mmm (123)

Entry 7:
## Re2HgIr2 (PBE)

Data for an optimized crystal structure of Re2HgIr2.

Structure (extended XYZ):
```
10
Lattice="7.766 0.000 0.000 0.000 7.766 0.000 0.000 0.000 2.741" Properties=species:S:1:pos:R:3 pbc="T T T"
Re 1.306 2.577 0.000
Re 2.577 6.460 0.000
Re 5.189 1.306 0.000
Re 6.460 5.189 0.000
Hg 0.000 0.000 1.371
Hg 3.883 3.883 1.371
Ir 0.960 4.843 1.371
Ir 2.923 0.960 1.371
Ir 4.843 6.806 1.371
Ir 6.806 2.923 1.371
```

Computed properties:
Magnetic moment in μB per formula unit: 0.00
N(E_F) in states/eV per cell: 8.270
Space-group type: P4/mbm (127)

Entry 8:
## CdS2BrN (PBE)

Data for an optimized crystal structure of CdS2BrN.

Structure (extended XYZ):
```
5
Lattice="5.087 0.000 0.000 0.000 5.087 0.000 0.000 0.000 3.724" Properties=species:S:1:pos:R:3 pbc="T T T"
Cd 0.000 0.000 0.000
S 0.000 2.544 1.862
S 2.544 0.000 1.862
Br 2.544 2.544 1.862
N 2.544 2.544 0.000
```

Computed properties:
Magnetic moment in μB per formula unit: 0.04
Formation energy from raw total energies in eV per formula unit: 6.7
N(E_F) in states/eV per cell: 3.498
Space-group type: P4/mmm (123)
Relative energy among the computed polymorphs in eV per formula unit: 0.00

Entry 9:
## CaSi2Ir (PBE)

Data for an optimized crystal structure of CaSi2Ir.

Structure (extended XYZ):
```
4
Lattice="3.206 0.000 0.000 0.000 3.206 0.000 0.000 0.000 6.803" Properties=species:S:1:pos:R:3 pbc="T T T"
Ca 0.000 0.000 0.000
Si 1.603 1.603 2.122
Si 1.603 1.603 4.681
Ir 0.000 0.000 3.402
```

Computed properties:
Magnetic moment in μB per formula unit: 0.00
Formation energy from raw total energies in eV per formula unit: -1.3
N(E_F) in states/eV per cell: 2.660
Space-group type: P4/mmm (123)

Entry 10:
## KCaTe2 (PBE)

Data for an optimized crystal structure of KCaTe2.

Structure (extended XYZ):
```
4
Lattice="2.719 -2.741 0.000 2.719 2.741 0.000 0.000 0.000 8.838" Properties=species:S:1:pos:R:3 pbc="T T T"
K 0.000 0.000 0.000
Ca 0.000 0.000 4.419
Te 2.719 0.000 2.451
Te 2.719 0.000 6.387
```

Computed properties:
Magnetic moment in μB per formula unit: 0.00
Formation energy from raw total energies in eV per formula unit: -4.2
N(E_F) in states/eV per cell: 2.532
Space-group type: Cmmm (65)

Entry 11:
## PmPrGd4 (PBE)

Data for an optimized crystal structure of PmPrGd4.

Structure (extended XYZ):
```
6
Lattice="0.000 4.704 4.704 4.704 0.000 4.704 4.704 4.704 0.000" Properties=species:S:1:pos:R:3 pbc="T T T"
Pm 0.000 0.000 0.000
Pr 7.057 7.057 7.057
Gd 3.527 3.527 3.527
Gd 5.882 5.882 3.527
Gd 5.882 3.527 5.882
Gd 3.527 5.882 5.882
```

Computed properties:
Magnetic moment in μB per formula unit: 32.08
N(E_F) in states/eV per cell: 18.108
Space-group type: F-43m (216)

Entry 12:
## TaZnPd14 (PBE)

Data for an optimized crystal structure of TaZnPd14.

Structure (extended XYZ):
```
16
Lattice="5.635 0.000 0.000 0.000 5.635 0.000 0.000 0.000 7.739" Properties=species:S:1:pos:R:3 pbc="T T T"
Ta 0.000 0.000 0.000
Zn 2.817 2.817 0.000
Pd 0.000 0.000 3.870
Pd 0.000 2.817 0.000
Pd 0.000 2.817 3.870
Pd 1.400 1.400 1.883
Pd 1.400 1.400 5.857
Pd 1.400 4.235 1.883
Pd 1.400 4.235 5.857
Pd 2.817 0.000 0.000
Pd 2.817 0.000 3.870
Pd 2.817 2.817 3.870
Pd 4.235 1.400 1.883
Pd 4.235 1.400 5.857
Pd 4.235 4.235 1.883
Pd 4.235 4.235 5.857
```

Computed properties:
Magnetic moment in μB per formula unit: 0.00
N(E_F) in states/eV per cell: 21.230
Space-group type: P4/mmm (123)

no.,total energy (eV per atom)
1,-4.51
2,-7.69
3,-7.76
4,-1.56
5,-4.80
6,-3.82
7,-8.25
8,-2.50
9,-5.75
10,-3.40
11,-10.72
12,-5.59